{"formula": "Tb2PrHg5", "functional": "PBE", "state": "relaxed", "cell": [[-2.630, 2.630, 7.366], [2.630, -2.630, 7.366], [2.630, 2.630, -7.366]], "species": ["Tb", "Tb", "Hg", "Hg", "Hg", "Hg", "Hg", "Pr"], "fractional_positions": [[0.268, 0.268, 0.000], [0.732, 0.732, 0.000], [0.872, 0.372, 0.500], [0.500, 0.500, 0.000], [0.372, 0.872, 0.500], [0.628, 0.128, 0.500], [0.128, 0.628, 0.500], [0.000, 0.000, 0.000]], "formation_energy_mev_per_atom": -450.3, "crystal_system": "tetragonal"}

=====

{"formula": "PrHgTe", "functional": "PBE", "state": "relaxed", "cell": [[0.000, 3.734, 3.734], [3.734, 0.000, 3.734], [3.734, 3.734, 0.000]], "species": ["Hg", "Te", "Pr"], "fractional_positions": [[0.250, 0.250, 0.250], [0.000, 0.000, 0.000], [0.750, 0.750, 0.750]], "energy_ev_per_cell": -9.90, "crystal_system": "cubic"}

=====

{"formula": "PrTlHg", "functional": "PBE", "state": "relaxed", "cell": [[-4.901, -0.910, 0.859], [-2.885, 3.537, 2.181], [-3.532, 2.406, -2.707]], "species": ["Pr", "Tl", "Hg"], "fractional_positions": [[0.750, 0.750, 0.750], [0.000, 0.000, 0.000], [0.250, 0.250, 0.250]], "energy_ev_per_cell": -8.17, "crystal_system": "cubic"}

=====

{"formula": "PrTlHg", "functional": "PBE", "state": "relaxed", "cell": [[-4.773, -2.275, -0.922], [4.356, -3.069, 0.639], [-1.142, -0.257, 6.547]], "species": ["Hg", "Hg", "Tl", "Tl", "Pr", "Pr"], "fractional_positions": [[0.833, 0.167, 0.750], [0.167, 0.833, 0.250], [0.500, 0.500, 0.500], [0.500, 0.500, 0.000], [0.167, 0.833, 0.750], [0.833, 0.167, 0.250]], "energy_ev_per_cell": -17.40, "crystal_system": "hexagonal"}